No. 1
Here is an optimized crystal structure of Tb5Nd5Y from Alexandria via LeMat-Bulk. Energies are from PBE.

Unit cell a=7.035 b=8.509 c=9.668 alpha=44.62 beta=89.98 gamma=104.39
Sites, in units of the cell vectors:
Tb (0.274, 0.024, 0.325)
Tb (0.356, 0.514, 0.793)
Tb (0.000, 0.500, 0.500)
Tb (0.644, 0.486, 0.207)
Tb (0.726, 0.976, 0.675)
Nd (0.134, 0.487, 0.155)
Nd (0.258, 0.091, 0.640)
Nd (0.500, 0.000, 0.000)
Nd (0.742, 0.909, 0.360)
Nd (0.866, 0.513, 0.845)
Y (0.000, 0.000, 0.000)

Output
The value obtained for the formation energy from the elements is 1.57 eV/f.u. The calculation puts the density of states at the Fermi level at 16.4 states/eV per cell.



No. 2
Here is an optimized crystal structure of Tb2Nd2Y from Alexandria via LeMat-Bulk. Energies are from PBE.

Unit cell a=6.361 b=8.595 c=9.706 alpha=43.43 beta=70.87 gamma=68.28
Sites, in units of the cell vectors:
Tb (0.820, 0.244, 0.951)
Tb (0.016, 0.256, 0.549)
Tb (0.180, 0.756, 0.049)
Tb (0.984, 0.744, 0.451)
Nd (0.787, 0.754, 0.846)
Nd (0.387, 0.746, 0.654)
Nd (0.213, 0.246, 0.154)
Nd (0.613, 0.254, 0.346)
Y (0.584, 0.750, 0.250)
Y (0.416, 0.250, 0.750)

Output
The value obtained for the formation energy from the elements is 0.10 eV/f.u. The calculation puts the density of states at the Fermi level at 17.8 states/eV per cell.



No. 3
Here is an optimized crystal structure of Tb3NdY5 from Alexandria via LeMat-Bulk. Energies are from PBE.

Unit cell a=8.686 b=8.686 c=9.904 alpha=116.01 beta=116.01 gamma=90.00
Sites, in units of the cell vectors:
Tb (0.618, 0.118, 0.000)
Tb (0.382, 0.882, 0.000)
Tb (0.882, 0.618, 0.000)
Tb (0.118, 0.382, 0.000)
Tb (0.250, 0.250, 0.500)
Tb (0.750, 0.750, 0.500)
Nd (0.750, 0.250, 0.500)
Nd (0.250, 0.750, 0.500)
Y (0.068, 0.568, 0.728)
Y (0.660, 0.160, 0.728)
Y (0.160, 0.068, 0.728)
Y (0.568, 0.660, 0.728)
Y (0.932, 0.432, 0.272)
Y (0.340, 0.840, 0.272)
Y (0.840, 0.932, 0.272)
Y (0.432, 0.340, 0.272)
Y (0.500, 0.500, 0.000)
Y (0.000, 0.000, 0.000)

Output
The value obtained for the formation energy from the elements is 2.38 eV/f.u. The calculation puts the density of states at the Fermi level at 21.3 states/eV per cell.



No. 4
Here is an optimized crystal structure of Tb5Nd6Y from Alexandria via LeMat-Bulk. Energies are from PBE.

Unit cell a=5.138 b=10.199 c=9.582 alpha=122.15 beta=105.53 gamma=90.03
Sites, in units of the cell vectors:
Y (0.000, 0.000, 0.000)
Nd (0.833, 0.583, 0.666)
Nd (0.833, 0.083, 0.666)
Nd (0.500, 0.749, 0.000)
Nd (0.500, 0.251, 0.000)
Nd (0.167, 0.917, 0.334)
Nd (0.167, 0.417, 0.334)
Tb (0.667, 0.167, 0.334)
Tb (0.333, 0.333, 0.666)
Tb (0.000, 0.500, 0.000)
Tb (0.667, 0.667, 0.334)
Tb (0.333, 0.833, 0.666)

Output
The value obtained for the formation energy from the elements is 0.17 eV/f.u. The calculation puts the density of states at the Fermi level at 16.1 states/eV per cell.



No. 5
Here is an optimized crystal structure of Tb4Nd3Y5 from Alexandria via LeMat-Bulk. Energies are from PBE.

Unit cell a=5.959 b=8.608 c=9.723 alpha=106.03 beta=72.16 gamma=69.75
Sites, in units of the cell vectors:
Tb (0.860, 0.222, 0.057)
Tb (0.168, 0.043, 0.622)
Tb (0.832, 0.957, 0.378)
Tb (0.140, 0.778, 0.943)
Nd (0.521, 0.687, 0.270)
Nd (0.000, 0.500, 0.500)
Nd (0.479, 0.313, 0.730)
Y (0.626, 0.948, 0.800)
Y (0.500, 0.500, 0.500)
Y (0.216, 0.456, 0.112)
Y (0.784, 0.544, 0.888)
Y (0.374, 0.052, 0.200)

Output
The value obtained for the formation energy from the elements is 2.74 eV/f.u. The calculation puts the density of states at the Fermi level at 19.2 states/eV per cell.



No. 6
Here is an optimized crystal structure of TbNd4Y4 from Alexandria via LeMat-Bulk. Energies are from PBE.

Unit cell a=6.256 b=6.252 c=12.013 alpha=85.14 beta=64.22 gamma=48.44
Sites, in units of the cell vectors:
Tb (0.500, 0.000, 0.000)
Nd (0.167, 0.332, 0.332)
Nd (0.833, 0.668, 0.668)
Nd (0.944, 0.222, 0.889)
Nd (0.056, 0.778, 0.111)
Y (0.609, 0.556, 0.223)
Y (0.720, 0.112, 0.446)
Y (0.391, 0.444, 0.777)
Y (0.280, 0.888, 0.554)

Output
The value obtained for the formation energy from the elements is 0.14 eV/f.u. The calculation puts the density of states at the Fermi level at 12.9 states/eV per cell.



Please write out number 1 again, unchanged.
Here is an optimized crystal structure of Tb5Nd5Y from Alexandria via LeMat-Bulk. Energies are from PBE.

Unit cell a=7.035 b=8.509 c=9.668 alpha=44.62 beta=89.98 gamma=104.39
Sites, in units of the cell vectors:
Tb (0.274, 0.024, 0.325)
Tb (0.356, 0.514, 0.793)
Tb (0.000, 0.500, 0.500)
Tb (0.644, 0.486, 0.207)
Tb (0.726, 0.976, 0.675)
Nd (0.134, 0.487, 0.155)
Nd (0.258, 0.091, 0.640)
Nd (0.500, 0.000, 0.000)
Nd (0.742, 0.909, 0.360)
Nd (0.866, 0.513, 0.845)
Y (0.000, 0.000, 0.000)

Output
The value obtained for the formation energy from the elements is 1.57 eV/f.u. The calculation puts the density of states at the Fermi level at 16.4 states/eV per cell.



Q: Among the records above, which one has the lowest formation energy from the elements?
A: Tb2Nd2Y